No. 1
# BeIn4Au

A relaxed structure of BeIn4Au (PBE-GGA, the Alexandria database).

Structure (POSCAR):
```
BeIn4Au
1.0
-0.609 -1.033 5.901
0.037 4.603 3.882
-5.071 1.595 2.828
In Au Be
4 1 1
Direct
0.375 0.875 0.375
0.875 0.375 0.375
0.375 0.375 0.375
0.375 0.375 0.875
0.750 0.750 0.750
0.000 0.000 0.000
```

## Properties
Density of states at the Fermi level   3.95 states/eV/f.u.
Energy of formation   631 meV per atom
Total energy   -2.36 eV per atom

---

No. 2
# BaBeSe2

A relaxed structure of BaBeSe2 (PBE-GGA, the Alexandria database).

Structure (POSCAR):
```
BaBeSe2
1.0
4.066 0.000 0.000
0.000 4.066 0.000
0.000 0.000 6.983
Ba Se Be
1 2 1
Direct
0.000 0.000 0.421
0.000 0.000 0.878
0.500 0.500 0.252
0.500 0.500 0.949
```

## Properties
Density of states at the Fermi level   0.20 states/eV/f.u.
Total energy   -3.92 eV per atom